{
  "formula": "Nd2In8Pd",
  "functional": "meta-GGA SCAN",
  "state": "single point on PBEsol structure",
  "final_energy_ev_per_atom": -35.747,
  "space_group": "P4/mmm (123)",
  "delta_e_f_ev_per_fu": -6.18,
  "rho_g_cm3": 8.37,
  "dos_ef_per_ev_atom": 0.37,
  "lattice": [[4.650, 0.000, 0.000], [0.000, 4.650, 0.000], [0.000, 0.000, 12.055]],
  "species": ["In", "In", "In", "In", "Pd", "In", "In", "Nd", "Nd", "In", "In"],
  "frac_coords": [[0.500, 0.000, 0.500], [0.000, 0.500, 0.500], [0.000, 0.000, 0.308], [0.000, 0.500, 0.876], [0.500, 0.500, 0.000], [0.000, 0.500, 0.124], [0.000, 0.000, 0.692], [0.500, 0.500, 0.310], [0.500, 0.500, 0.690], [0.500, 0.000, 0.124], [0.500, 0.000, 0.876]]
}